Entry 1:
Rb2NaBiBr6 (PBEsol, relaxed); space-group type = Fm-3m, No. 225; ΔE_f (raw) = -1242 kJ/mol of formula units; size of the total moment = 0.00 μB per atom; density of states at the Fermi level = 0.00 states/eV per atom; crystal system = cubic
1.0
-4.437 1.532 6.474
-3.554 -5.995 3.921
2.620 -2.150 7.243
Na Br Bi Rb
1 6 1 2
Direct
0.500 0.500 0.500
0.249 0.751 0.249
0.249 0.249 0.751
0.751 0.751 0.249
0.751 0.249 0.249
0.249 0.751 0.751
0.751 0.249 0.751
0.000 0.000 0.000
0.250 0.250 0.250
0.750 0.750 0.750

---

Entry 2:
Ca10P6SO24 (PBEsol, relaxed); space-group type = P2_1/c, No. 14; ΔE_f (raw) = -11486 kJ/mol of formula units; size of the total moment = 0.00 μB per atom; density of states at the Fermi level = 0.00 states/eV per atom; crystal system = monoclinic
1.0
-6.627 -0.645 1.085
-0.133 -7.806 -5.452
3.071 -9.192 13.295
Ca P S O
20 12 2 48
Direct
0.762 0.997 0.250
0.751 0.874 0.876
0.519 0.759 0.078
0.015 0.743 0.091
0.276 0.623 0.876
0.754 0.497 0.750
0.776 0.377 0.124
0.766 0.374 0.376
0.515 0.257 0.909
0.019 0.241 0.922
0.502 0.243 0.591
0.997 0.259 0.578
0.251 0.126 0.124
0.241 0.123 0.376
0.262 0.003 0.750
0.741 0.877 0.624
0.497 0.741 0.422
0.002 0.757 0.409
0.266 0.626 0.624
0.254 0.503 0.250
0.260 0.920 0.951
0.263 0.862 0.236
0.769 0.535 0.935
0.269 0.465 0.065
0.256 0.420 0.451
0.253 0.362 0.736
0.763 0.138 0.764
0.760 0.080 0.049
0.747 0.035 0.435
0.247 0.965 0.565
0.753 0.638 0.264
0.756 0.580 0.549
0.508 0.750 0.750
0.008 0.250 0.250
0.421 0.974 0.212
0.766 0.930 0.083
0.236 0.921 0.046
0.059 0.912 0.205
0.454 0.837 0.936
0.090 0.835 0.911
0.306 0.722 0.190
0.764 0.662 0.993
0.753 0.659 0.171
0.293 0.605 0.017
0.938 0.555 0.872
0.576 0.513 0.885
0.076 0.487 0.115
0.457 0.412 0.705
0.438 0.445 0.128
0.750 0.430 0.583
0.281 0.421 0.546
0.096 0.474 0.712
0.793 0.395 0.983
0.426 0.335 0.411
0.253 0.341 0.829
0.264 0.338 0.007
0.063 0.337 0.436
0.806 0.278 0.810
0.211 0.223 0.690
0.590 0.165 0.089
0.752 0.162 0.493
0.763 0.159 0.671
0.954 0.163 0.064
0.224 0.105 0.517
0.559 0.088 0.795
0.736 0.079 0.954
0.266 0.070 0.917
0.940 0.013 0.385
0.921 0.026 0.788
0.579 0.055 0.372
0.079 0.945 0.628
0.440 0.987 0.615
0.724 0.895 0.483
0.263 0.841 0.329
0.252 0.838 0.507
0.711 0.777 0.310
0.563 0.663 0.564
0.926 0.665 0.589
0.596 0.526 0.288
0.781 0.579 0.454
0.250 0.570 0.417
0.957 0.588 0.295

---

Entry 3:
ReOsSeN2 (PBEsol, relaxed); space-group type = P4/mmm, No. 123; ΔE_f (raw) = 606 kJ/mol of formula units; size of the total moment = 0.54 μB per atom; density of states at the Fermi level = 1.00 states/eV per atom; crystal system = tetragonal
1.0
-3.448 -0.804 1.298
1.385 -0.296 3.495
-0.910 5.194 0.800
Re Os Se N
1 1 1 2
Direct
0.000 0.000 0.000
0.500 0.500 0.500
0.000 0.000 0.500
0.000 0.500 0.000
0.500 0.000 0.000

---

Entry 4:
Li3Sb2P3O12 (PBEsol, relaxed); space-group type = R-3, No. 148; ΔE_f (raw) = -3976 kJ/mol of formula units; size of the total moment = 0.00 μB per atom; density of states at the Fermi level = 0.00 states/eV per atom; crystal system = trigonal
1.0
8.703 0.000 0.000
4.351 7.537 0.000
4.351 2.512 8.095
Sb O P Li
4 24 6 6
Direct
0.160 0.160 0.520
0.840 0.840 0.480
0.341 0.341 0.978
0.659 0.659 0.022
0.107 0.201 0.081
0.201 0.611 0.081
0.611 0.107 0.081
0.161 0.522 0.826
0.195 0.836 0.715
0.987 0.790 0.630
0.255 0.195 0.715
0.491 0.161 0.826
0.522 0.491 0.826
0.210 0.407 0.370
0.164 0.745 0.285
0.407 0.013 0.370
0.593 0.987 0.630
0.836 0.255 0.715
0.790 0.593 0.630
0.478 0.509 0.174
0.509 0.839 0.174
0.745 0.805 0.285
0.013 0.210 0.370
0.805 0.164 0.285
0.839 0.478 0.174
0.389 0.893 0.919
0.799 0.389 0.919
0.893 0.799 0.919
0.062 0.740 0.769
0.429 0.062 0.769
0.740 0.429 0.769
0.260 0.571 0.231
0.571 0.938 0.231
0.938 0.260 0.231
0.063 0.332 0.862
0.332 0.744 0.862
0.744 0.063 0.862
0.256 0.937 0.138
0.668 0.256 0.138
0.937 0.668 0.138

---

Entry 5:
ScBPS2 (PBEsol, relaxed); space-group type = P4/mmm, No. 123; ΔE_f (raw) = -45 kJ/mol of formula units; size of the total moment = 0.00 μB per atom; density of states at the Fermi level = 0.57 states/eV per atom; crystal system = tetragonal
1.0
-1.359 2.565 -2.693
-4.030 -1.335 0.763
-0.414 3.003 3.069
Sc P S B
1 1 2 1
Direct
0.500 0.500 0.500
0.500 0.000 0.000
0.000 0.000 0.500
0.000 0.500 0.000
0.000 0.000 0.000

---

Entry 6:
Rb2InAsBr6 (PBEsol, relaxed); space-group type = Fm-3m, No. 225; ΔE_f (raw) = -978 kJ/mol of formula units; size of the total moment = 0.00 μB per atom; density of states at the Fermi level = 0.01 states/eV per atom; crystal system = cubic
1.0
7.858 0.000 0.000
3.929 6.805 0.000
3.929 2.268 6.416
As Br Rb In
1 6 2 1
Direct
0.000 0.000 0.000
0.761 0.239 0.239
0.761 0.761 0.239
0.239 0.761 0.761
0.761 0.239 0.761
0.239 0.761 0.239
0.239 0.239 0.761
0.750 0.750 0.750
0.250 0.250 0.250
0.500 0.500 0.500

---

Entry 7:
Cr2CuIr (PBEsol, relaxed); space-group type = Pmm2, No. 25; formation energy = 0.049 eV per atom; size of the total moment = 0.00 μB per atom; density of states at the Fermi level = 0.98 states/eV per atom; crystal system = orthorhombic
1.0
-0.530 -1.302 -2.186
1.064 -3.520 1.839
-4.256 -0.570 1.371
Cr Cu Ir
2 1 1
Direct
0.000 0.000 0.033
0.000 0.500 0.709
0.500 0.000 0.547
0.500 0.500 0.211

---

Entry 8:
PAu2CO (PBEsol, relaxed); space-group type = P4/mmm, No. 123; ΔE_f (raw) = 535 kJ/mol of formula units; size of the total moment = 0.00 μB per atom; density of states at the Fermi level = 0.44 states/eV per atom; crystal system = tetragonal
1.0
-0.110 -3.005 1.337
3.674 -1.314 -2.651
2.955 1.403 3.399
P C Au O
1 1 2 1
Direct
0.000 0.000 0.000
0.500 0.500 0.500
0.000 0.000 0.500
0.000 0.500 0.000
0.500 0.000 0.000

---

Entry 9:
LiScCr2As (PBEsol, relaxed); space-group type = P4/mmm, No. 123; formation energy = 0.421 eV per atom; size of the total moment = 0.81 μB per atom; density of states at the Fermi level = 0.62 states/eV per atom; crystal system = tetragonal
1.0
4.358 0.000 0.000
0.000 4.495 0.000
0.000 0.000 4.495
Sc Cr As Li
1 2 1 1
Direct
0.500 0.500 0.500
0.000 0.000 0.500
0.000 0.500 0.000
0.000 0.000 0.000
0.500 0.000 0.000

---

Entry 10:
YFe2NiW (PBEsol, relaxed); space-group type = P4/mmm, No. 123; formation energy = 1.553 eV per atom; size of the total moment = 0.47 μB per atom; density of states at the Fermi level = 1.37 states/eV per atom; crystal system = tetragonal
1.0
-4.242 -0.701 0.658
0.720 -0.342 4.276
-0.775 5.198 0.546
Y Ni Fe W
1 1 2 1
Direct
0.000 0.000 0.500
0.500 0.500 0.500
0.000 0.500 0.000
0.500 0.000 0.000
0.000 0.000 0.000

---

Entry 11:
Cs2HgSe2 (PBEsol, relaxed); space-group type = P4/mbm, No. 127; ΔE_f (raw) = -349 kJ/mol of formula units; size of the total moment = 0.00 μB per atom; density of states at the Fermi level = 0.01 states/eV per atom; crystal system = tetragonal
1.0
4.897 0.000 0.000
0.000 8.757 0.000
0.000 0.000 8.757
Cs Hg Se
4 2 4
Direct
0.500 0.186 0.686
0.500 0.686 0.814
0.500 0.814 0.314
0.500 0.314 0.186
0.000 0.000 0.000
0.000 0.500 0.500
0.000 0.403 0.903
0.000 0.903 0.597
0.000 0.597 0.097
0.000 0.097 0.403

---

Entry 12:
WSe2S (PBEsol, relaxed); space-group type = R-3m, No. 166; ΔE_f (raw) = 327 kJ/mol of formula units; size of the total moment = 0.00 μB per atom; density of states at the Fermi level = 0.67 states/eV per atom; crystal system = trigonal
1.0
-1.035 2.502 1.430
0.238 0.232 3.044
7.599 4.679 0.590
S Se W
1 2 1
Direct
0.500 0.500 0.500
0.907 0.907 0.278
0.093 0.093 0.722
0.000 0.000 0.000

---

Entry 13:
La2CrHg (PBEsol, relaxed); space-group type = Imm2, No. 44; formation energy = 0.091 eV per atom; size of the total moment = 0.90 μB per atom; density of states at the Fermi level = 1.19 states/eV per atom; crystal system = orthorhombic
1.0
3.731 0.000 0.000
0.000 5.117 0.000
-1.865 -2.559 5.417
Cr Hg La
1 1 2
Direct
0.527 0.527 0.053
0.215 0.715 0.430
0.984 0.984 0.968
0.774 0.274 0.549

---

Entry 14:
ZrCo2PPt (PBEsol, relaxed); space-group type = P4/mmm, No. 123; formation energy = 1.385 eV per atom; size of the total moment = 0.38 μB per atom; density of states at the Fermi level = 1.12 states/eV per atom; crystal system = tetragonal
1.0
4.337 0.000 0.000
0.000 4.337 0.000
0.000 0.000 4.773
P Co Zr Pt
1 2 1 1
Direct
0.000 0.000 0.500
0.000 0.500 0.000
0.500 0.000 0.000
0.000 0.000 0.000
0.500 0.500 0.500

---

Entry 15:
KOsBr2 (PBEsol, relaxed); space-group type = P4/mmm, No. 123; ΔE_f (raw) = 227 kJ/mol of formula units; size of the total moment = 0.76 μB per atom; density of states at the Fermi level = 0.68 states/eV per atom; crystal system = tetragonal
1.0
3.447 0.000 0.000
0.000 3.447 0.000
0.000 0.000 7.588
Br K Os
2 1 1
Direct
0.000 0.000 0.717
0.000 0.000 0.283
0.500 0.500 0.000
0.500 0.500 0.500

---

Entry 16:
Al9Rh2 (PBEsol, relaxed); space-group type = P2_1/c, No. 14; formation energy = -0.497 eV per atom; size of the total moment = 0.00 μB per atom; density of states at the Fermi level = 0.26 states/eV per atom; crystal system = monoclinic
1.0
-2.576 -2.975 -4.941
5.841 -1.765 -1.983
-0.287 -6.874 5.276
Rh Al
4 18
Direct
0.735 0.622 0.668
0.265 0.122 0.832
0.265 0.378 0.332
0.735 0.878 0.168
0.000 0.500 0.500
0.000 0.000 0.000
0.790 0.606 0.960
0.210 0.106 0.540
0.599 0.523 0.231
0.401 0.023 0.269
0.401 0.477 0.769
0.599 0.977 0.731
0.611 0.303 0.504
0.389 0.803 0.996
0.389 0.697 0.496
0.611 0.197 0.004
0.905 0.214 0.271
0.095 0.714 0.229
0.095 0.786 0.729
0.905 0.286 0.771
0.790 0.894 0.460
0.210 0.394 0.040

---

Entry 17:
CuPS2 (PBEsol, relaxed); space-group type = R-3m, No. 166; ΔE_f (raw) = 87 kJ/mol of formula units; size of the total moment = 0.00 μB per atom; density of states at the Fermi level = 0.65 states/eV per atom; crystal system = trigonal
1.0
3.457 0.000 0.000
1.728 2.993 0.000
1.728 0.998 6.747
P S Cu
1 2 1
Direct
0.000 0.000 0.000
0.895 0.895 0.315
0.105 0.105 0.685
0.500 0.500 0.500

---

Entry 18:
Be2AlFe (PBEsol, relaxed); space-group type = Imm2, No. 44; formation energy = -0.190 eV per atom; size of the total moment = 0.00 μB per atom; density of states at the Fermi level = 0.26 states/eV per atom; crystal system = orthorhombic
1.0
-2.551 -0.833 -1.142
0.376 -3.256 1.535
-0.660 3.264 2.818
Be Fe Al
2 1 1
Direct
0.014 0.014 0.029
0.748 0.248 0.496
0.488 0.488 0.975
0.250 0.750 0.500

---

Entry 19:
Cu2SiBr (PBEsol, relaxed); space-group type = F-43m, No. 216; ΔE_f (raw) = 308 kJ/mol of formula units; size of the total moment = 0.00 μB per atom; density of states at the Fermi level = 0.72 states/eV per atom; crystal system = cubic
1.0
4.510 0.000 0.000
2.255 3.906 0.000
2.255 1.302 3.682
Br Cu Si
1 2 1
Direct
0.500 0.500 0.500
0.000 0.000 0.000
0.250 0.250 0.250
0.750 0.750 0.750

---

Entry 20:
TcHg2P (PBEsol, relaxed); space-group type = P4/mmm, No. 123; formation energy = 0.668 eV per atom; size of the total moment = 0.27 μB per atom; density of states at the Fermi level = 0.87 states/eV per atom; crystal system = tetragonal
1.0
-1.300 -3.132 -1.772
3.047 -1.960 1.229
-2.365 -1.229 3.907
Hg P Tc
2 1 1
Direct
0.000 0.500 0.000
0.500 0.000 0.000
0.500 0.500 0.500
0.000 0.000 0.500

---

Entry 21:
LiAlCo2 (PBEsol, relaxed); space-group type = C2/m, No. 12; formation energy = -0.022 eV per atom; size of the total moment = 0.57 μB per atom; density of states at the Fermi level = 0.80 states/eV per atom; crystal system = monoclinic
1.0
-0.914 -2.034 1.147
-0.773 -1.277 -4.291
4.322 -0.387 1.348
Co Al Li
2 1 1
Direct
0.000 0.000 0.500
0.000 0.500 0.000
0.500 0.000 0.000
0.500 0.500 0.500